Below is a crystal of LiMg5 relaxed with PBEsol, with properties calculated at the SCAN level.

## Properties
Total DFT energy (no corrections), eV per atom: -4.57
Density of states at the Fermi level, states/eV per cell: 2.023

Cell lengths 3.1506, 3.1506, 15.0770 Å; angles 90.00, 90.00, 120.00 degrees
Positions (direct):
Li 0.0000 0.0000 0.0000
Mg 0.0000 0.0000 0.3307
Mg 0.0000 0.0000 0.6693
Mg 0.6667 0.3333 0.1594
Mg 0.6667 0.3333 0.5000
Mg 0.6667 0.3333 0.8406